NaFeW2O8: optimized geometry, GGA+U.

a b c (Å): 5.8257 5.0782 10.0226
angles (deg): 89.07 90.00 90.00
Closest atoms and distances in Å follow each position.
Atoms (fractional coordinates):
1 Na 0.6872 0.7500 0.5000  6 O 2.38-2.42
2 Na 0.3128 0.2500 0.5000  6 O 2.38-2.42
3 Fe 0.6605 0.7500 0.0000  6 O 1.98-2.14
4 Fe 0.3395 0.2500 0.0000  6 O 1.98-2.14
5 W 0.1761 0.7605 0.7644  3 O 1.76-1.92
6 W 0.1761 0.7395 0.2356  3 O 1.76-1.92
7 W 0.8239 0.2395 0.2356  3 O 1.76-1.92
8 W 0.8239 0.2605 0.7644  3 O 1.76-1.92
9 O 0.1248 0.0775 0.8749  1 Fe 1.98, 1 W 1.99
10 O 0.1248 0.4225 0.1251  1 Fe 1.98, 1 W 1.99
11 O 0.8752 0.9225 0.1251  1 Fe 1.98, 1 W 1.99
12 O 0.8752 0.5775 0.8749  1 Fe 1.98, 1 W 1.99
13 O 0.0909 0.4484 0.6710  2 W 1.92-2.04
14 O 0.0909 0.0516 0.3290  2 W 1.92-2.04
15 O 0.9091 0.5516 0.3290  2 W 1.92-2.04
16 O 0.9091 0.9484 0.6710  2 W 1.92-2.04
17 O 0.3751 0.5916 0.8925  1 W 1.92, 2 Fe 2.04-2.14
18 O 0.3751 0.9084 0.1075  1 W 1.92, 2 Fe 2.04-2.14
19 O 0.6249 0.4084 0.1075  1 W 1.92, 2 Fe 2.04-2.14
20 O 0.6249 0.0916 0.8925  1 W 1.92, 2 Fe 2.04-2.14
21 O 0.6233 0.3785 0.6458  1 W 1.76
22 O 0.6233 0.1215 0.3542  1 W 1.76
23 O 0.3767 0.6215 0.3542  1 W 1.76
24 O 0.3767 0.8785 0.6458  1 W 1.76

M_tot = 0.411 μB/atom
ΔE to the lowest computed polymorph = 0.000 eV per atom
final energy = -7.00 eV/atom